LiNdTl3: relaxed, PBE-GGA.

formation energy from the elements: -0.198 eV per atom
size of the total moment: 0.000 μB per atom
DOS(E_F): 2.11 states/eV/f.u.
calculated density: 9.79 g/cm³
calculated volume: 25.9 Å³/atom
ΔE to the lowest computed polymorph: 0.000 eV per atom

a = 7.0674 Å, b = 7.0674 Å, c = 5.9962 Å
α = 90.00°, β = 90.00°, γ = 120.00°
With the nearest neighbours (Å) after each atom.
Space group P6_3/mmc (No. 194)
Asymmetric unit:
Li1 0.0000 0.0000 0.0000  6 Tl 2.72, 2 Li 3.00
Nd1 0.3333 0.6667 0.2500  12 Tl 3.50-3.54
Tl1 0.1853 0.3706 0.7500  2 Li 2.72



ErCu10Ni2: relaxed, PBE-GGA.

formation energy from the elements: -0.103 eV per atom
size of the total moment: 0.000 μB per atom
DOS(E_F): 6.18 states/eV/f.u.
calculated density: 9.00 g/cm³
calculated volume: 13.1 Å³/atom

a = 4.8194 Å, b = 11.8067 Å, c = 11.9283 Å
α = 90.00°, β = 90.00°, γ = 90.00°
With the nearest neighbours (Å) after each atom.
Space group Fmmm (No. 69)
Asymmetric unit:
Er1 0.0000 0.0000 0.0000  16 Cu 2.96-3.22, 4 Ni 3.19
Cu1 0.0000 0.1110 0.3905  2 Ni 2.42, 8 Cu 2.44-2.70
Cu2 0.0000 0.1786 0.1742  7 Cu 2.47-2.70, 2 Ni 2.55
Cu3 0.2500 0.0000 0.2500  10 Cu 2.41-2.59
Ni1 0.2500 0.2500 0.0000  2 Ni 2.41, 8 Cu 2.42-2.55



Mg2TeAs: relaxed, PBE-GGA.

uncorrected formation energy: -0.0413 eV per atom
size of the total moment: 0.000 μB per atom
DOS(E_F): 1.60 states/eV/f.u.
calculated density: 4.20 g/cm³
calculated volume: 24.8 Å³/atom
ΔE to the lowest computed polymorph: 0.489 eV per atom

a = 4.4105 Å, b = 4.4261 Å, c = 10.1686 Å
α = 90.00°, β = 90.00°, γ = 90.00°
With the nearest neighbours (Å) after each atom.
Space group Cmm2 (No. 35)
Asymmetric unit:
Mg1 0.0000 0.0000 0.0000  4 As 2.84, 4 Mg 3.12
Mg2 0.0000 0.5000 0.2348  8 Mg 3.12-3.26, 4 Te 3.28-3.29
Te1 0.0000 0.0000 0.4738  4 Te 3.12, 4 Mg 3.28-3.29
As1 0.0000 0.5000 0.8247  4 Mg 2.84, 4 As 3.12



TlSb3Au: relaxed, PBE-GGA.

uncorrected formation energy: 0.0302 eV per atom
size of the total moment: 0.000 μB per atom
DOS(E_F): 3.17 states/eV/f.u.
calculated density: 8.82 g/cm³
calculated volume: 28.9 Å³/atom
ΔE to the lowest computed polymorph: 0.000 eV per atom

a = 6.5710 Å, b = 6.5558 Å, c = 6.7028 Å
α = 90.00°, β = 90.03°, γ = 90.00°
With the nearest neighbours (Å) after each atom.
Space group P2_1 (No. 4)
Asymmetric unit:
Tl1 0.2387 0.0000 0.2514  1 Au 3.17, 1 Sb 3.33
Sb1 0.1072 0.1284 0.7510  1 Au 2.79, 2 Sb 3.12
Sb2 0.2754 0.5014 0.4953  2 Au 2.87-2.89, 2 Sb 3.12-3.18
Sb3 0.2762 0.5018 0.0050  2 Au 2.87-2.89, 2 Sb 3.12-3.18
Au1 0.4072 0.8277 0.7494  5 Sb 2.79-2.89



Ca2ZnSbO6: relaxed, PBE-GGA.

uncorrected formation energy: -1.9685 eV per atom
size of the total moment: 0.108 μB per atom
DOS(E_F): 7.71 states/eV/f.u.
calculated density: 4.86 g/cm³
calculated volume: 12.4 Å³/atom

a = 5.5601 Å, b = 5.7266 Å, c = 9.5035 Å
α = 90.00°, β = 124.87°, γ = 90.00°
With the nearest neighbours (Å) after each atom.
Space group P2_1/c (No. 14)
Asymmetric unit:
Ca1 0.2298 0.0575 0.2466  6 O 2.35-2.58
Zn1 0.0000 0.0000 0.5000  6 O 2.09-2.15
Sb1 0.5000 0.0000 0.0000  6 O 2.01-2.02
O1 0.1580 0.1974 0.9481  1 Sb 2.02, 1 Zn 2.12
O2 0.2479 0.7149 0.9412  1 Sb 2.01, 1 Zn 2.15
O3 0.3616 0.0395 0.7547  1 Sb 2.01, 1 Zn 2.09



KLaY2: relaxed, PBE-GGA.

formation energy from the elements: 0.462 eV per atom
size of the total moment: 0.029 μB per atom
DOS(E_F): 7.33 states/eV/f.u.
calculated density: 3.91 g/cm³
calculated volume: 37.8 Å³/atom
ΔE to the lowest computed polymorph: 0.275 eV per atom

a = 6.2335 Å, b = 6.2335 Å, c = 3.8871 Å
α = 90.00°, β = 90.00°, γ = 90.00°
With the nearest neighbours (Å) after each atom.
Space group P4/mmm (No. 123)
Asymmetric unit:
K1 0.0000 0.0000 0.0000  8 Y 3.67, 2 K 3.89
La1 0.5000 0.5000 0.0000  8 Y 3.67, 2 La 3.89
Y1 0.0000 0.5000 0.5000  4 La 3.67, 4 K 3.67, 2 Y 3.89